{"formula": "Pu3CdS", "functional": "PBE", "state": "optimized geometry", "magmom_total_mub_per_fu": 18.621, "raw_formation_energy_ev_per_atom": -0.2842, "dos_ef_per_ev_atom": 5.27, "lattice": [[-3.279, -0.678, 4.114], [4.101, -1.468, 3.027], [0.751, 5.052, 1.432]], "species": ["Pu", "Pu", "Pu", "S", "Cd"], "frac_coords": [[0.000, 0.500, 0.000], [0.000, 0.000, 0.500], [0.500, 0.000, 0.000], [0.000, 0.000, 0.000], [0.500, 0.500, 0.500]]}